DFT (PBE) results for an optimized crystal structure of Pm3Ag4Ge4.

The structure in CIF format:
```
data_Pm3Ag4Ge4
_cell_length_a 8.515
_cell_length_b 8.515
_cell_length_c 8.515
_cell_angle_alpha 149.84
_cell_angle_beta 130.07
_cell_angle_gamma 59.45
_symmetry_space_group_name_H-M 'P 1'
_symmetry_Int_Tables_number 1
loop_
_symmetry_equiv_pos_as_xyz
'x,y,z'
loop_
_atom_site_label
_atom_site_fract_x
_atom_site_fract_y
_atom_site_fract_z
Pm1 0.373 0.373 0.000
Pm2 0.000 0.500 0.500
Pm3 0.627 0.627 0.000
Ag1 0.364 0.169 0.195
Ag2 0.973 0.169 0.805
Ag3 0.027 0.831 0.195
Ag4 0.636 0.831 0.805
Ge1 0.217 0.717 0.500
Ge2 0.317 0.000 0.317
Ge3 0.783 0.283 0.500
Ge4 0.683 0.000 0.683
```

Computed properties:
E_tot (eV per atom): -4.56
Total magnetization (μB/f.u.): 0.014